[1]
First-principles (meta-GGA SCAN) data for a crystal of Li3AlCoO4 relaxed with PBEsol, as listed in Alexandria.

Total energy = -8.606 eV per atom
M_tot = 1.011 μB/f.u.
D(E_F) = 0.000 states/eV/cell
Crystal system = tetragonal
Volume = 9.62 Å³/atom
Theoretical density = 3.276 g cm⁻³
Raw formation energy = -2256 meV per atom

Lattice parameters (Å, degrees): 9.996 9.996 13.859 90.00 90.00 90.00
Space group I4_1/a (No. 88, origin choice 2)
Symmetry-distinct sites (fractional):
Li 0.000 0.080 0.067 x16
Li 0.015 0.394 0.822 x16
Li 0.017 0.398 0.554 x16
Al 0.002 0.069 0.307 x16
Co 0.240 0.499 0.438 x16
O 0.072 0.411 0.421 x16
O 0.080 0.408 0.690 x16
O 0.081 0.422 0.195 x16
O 0.093 0.406 0.946 x16

[2]
First-principles (meta-GGA SCAN) data for a crystal of LiAlCo2P relaxed with PBEsol, as listed in Alexandria.

Total energy = -10.910 eV per atom
M_tot = 1.468 μB/f.u.
E_form = 2.76 kcal/mol of atoms
D(E_F) = 2.056 states/eV/cell
Crystal system = tetragonal
Volume = 13.62 Å³/atom
Theoretical density = 4.457 g cm⁻³

Lattice parameters (Å, degrees): 4.065 4.065 4.121 90.00 90.00 90.00
Space group P4/mmm (No. 123)
Symmetry-distinct sites (fractional):
Li 0.000 0.000 0.000 x1
Al 0.500 0.500 0.000 x1
Co 0.000 0.500 0.500 x2
P 0.000 0.000 0.500 x1

[3]
First-principles (meta-GGA SCAN) data for a crystal of Lu2Al3Co relaxed with PBEsol, as listed in Alexandria.

Total energy = -25.720 eV per atom
M_tot = 0.421 μB/f.u.
E_form = -11.81 kcal/mol of atoms
D(E_F) = 5.945 states/eV/cell
Crystal system = hexagonal
Volume = 17.38 Å³/atom
Theoretical density = 7.802 g cm⁻³

Lattice parameters (Å, degrees): 5.3681 5.3681 8.3553 90.00 90.00 120.00
Space group P6_3/mmc (No. 194)
Symmetry-distinct sites (fractional):
Lu 0.3333 0.6667 0.0555 x4
Al 0.1627 0.3253 0.7500 x6
Co 0.0000 0.0000 0.0000 x2